# Cd4HgAu2

Crystalline Cd4HgAu2 at its relaxed geometry (PBE, Alexandria via LeMat-Bulk).

## Properties
Calculated density, g/cm³: 10.026
Calculated volume, Å³ per cell: 173
Total energy, eV per cell: -11.14
E_form, eV/atom: -0.088

Cell: 4.548 4.548 10.007 Å, 76.87 76.87 60.00°
Sites, in units of the cell vectors:
Cd1 0.697 0.697 0.909
Hg1 0.500 0.500 0.500
Cd2 0.303 0.303 0.091
Au1 0.402 0.402 0.794
Cd3 0.891 0.891 0.326
Cd4 0.109 0.109 0.674
Au2 0.598 0.598 0.206

---

# PmCoN3

Crystalline PmCoN3 at its relaxed geometry (PBE, Alexandria via LeMat-Bulk).

## Properties
Calculated density, g/cm³: 5.389
Calculated volume, Å³ per cell: 152
Total energy, eV per cell: -78.88
Energy relative to the elements, uncorrected, eV per atom: -0.521

Cell: 3.896 5.737 7.454 Å, 103.84 90.00 109.85°
Sites, in units of the cell vectors:
N1 0.633 0.266 0.974
N2 0.352 0.703 0.449
N3 0.367 0.734 0.026
N4 0.648 0.297 0.551
N5 0.391 0.782 0.612
Co1 0.543 0.087 0.158
Pm1 0.833 0.667 0.193
Co2 0.457 0.913 0.842
N6 0.609 0.218 0.388
Pm2 0.167 0.333 0.807

---

# SiSnS2N

Crystalline SiSnS2N at its relaxed geometry (PBE, Alexandria via LeMat-Bulk).

## Properties
Excess energy over the best structure of this formula in the dataset, meV/atom: 0.0
Calculated density, g/cm³: 3.727
Calculated volume, Å³ per cell: 200
Total energy, eV per cell: -55.32
Energy relative to the elements, uncorrected, eV per atom: -0.331

Cell: 2.854 8.795 8.472 Å, 90.00 109.50 90.00°
Sites, in units of the cell vectors:
S1 0.022 0.815 0.472
S2 0.022 0.185 0.472
Sn1 0.089 0.000 0.043
N1 0.820 0.500 0.272
N2 0.820 0.000 0.772
Si1 0.204 0.000 0.655
Sn2 0.089 0.500 0.543
S3 0.022 0.685 0.972
Si2 0.204 0.500 0.155
S4 0.022 0.315 0.972

---

# SmY8Ho3

Crystalline SmY8Ho3 at its relaxed geometry (PBE, Alexandria via LeMat-Bulk).

## Properties
Calculated density, g/cm³: 5.869
Calculated volume, Å³ per cell: 384
Total energy, eV per cell: -69.96
E_form, eV/atom: 0.017

Cell: 12.380 12.390 9.454 Å, 139.89 96.25 119.99°
Sites, in units of the cell vectors:
Y1 0.166 0.833 0.001
Y2 0.834 0.167 0.999
Sm1 0.000 0.000 0.000
Ho1 0.500 0.500 0.000
Y3 0.335 0.668 0.002
Y4 0.834 0.667 0.001
Ho2 0.000 0.500 0.000
Y5 0.333 0.165 0.998
Y6 0.667 0.835 0.002
Ho3 0.500 0.000 0.000
Y7 0.665 0.332 0.998
Y8 0.166 0.333 0.999

---

# K13Pb2

Crystalline K13Pb2 at its relaxed geometry (PBE, Alexandria via LeMat-Bulk).

## Properties
Excess energy over the best structure of this formula in the dataset, meV/atom: 0.0
Calculated density, g/cm³: 1.685
Calculated volume, Å³ per cell: 909
Total energy, eV per cell: -22.27
E_form, eV/atom: -0.039

Cell: 8.417 10.301 11.754 Å, 113.58 88.25 102.74°
Sites, in units of the cell vectors:
K1 0.293 0.923 0.263
K2 0.707 0.077 0.737
Pb1 0.195 0.277 0.304
K3 0.573 0.233 0.139
K4 0.954 0.562 0.370
K5 0.000 0.000 0.000
K6 0.427 0.767 0.861
Pb2 0.805 0.723 0.696
K7 0.835 0.015 0.346
K8 0.046 0.438 0.630
K9 0.486 0.653 0.438
K10 0.774 0.578 0.958
K11 0.226 0.422 0.042
K12 0.165 0.985 0.654
K13 0.514 0.347 0.562

---

# NaPmGaTe3

Crystalline NaPmGaTe3 at its relaxed geometry (PBE, Alexandria via LeMat-Bulk).

## Properties
Calculated density, g/cm³: 4.476
Calculated volume, Å³ per cell: 460
Total energy, eV per cell: -47.63
Energy relative to the elements, uncorrected, eV per atom: -0.882

Cell: 4.528 9.003 11.742 Å, 105.88 90.00 90.00°
Sites, in units of the cell vectors:
Te1 0.750 0.922 0.153
Te2 0.250 0.078 0.847
Na1 0.750 0.824 0.858
Pm1 0.750 0.335 0.865
Ga1 0.750 0.938 0.392
Te3 0.250 0.574 0.856
Ga2 0.250 0.062 0.608
Te4 0.250 0.770 0.423
Pm2 0.250 0.665 0.135
Te5 0.750 0.230 0.577
Na2 0.250 0.176 0.142
Te6 0.750 0.426 0.144

---

# CaSmDy14

Crystalline CaSmDy14 at its relaxed geometry (PBE, Alexandria via LeMat-Bulk).

## Properties
Calculated density, g/cm³: 7.894
Calculated volume, Å³ per cell: 519
Total energy, eV per cell: -70.71
E_form, eV/atom: 0.028

Cell: 7.275 7.275 11.320 Å, 90.00 90.00 120.05°
Sites, in units of the cell vectors:
Dy1 0.329 0.165 0.745
Ca1 0.667 0.333 0.000
Dy2 0.333 0.667 0.249
Dy3 0.166 0.834 0.500
Dy4 0.667 0.333 0.500
Dy5 0.333 0.667 0.751
Sm1 0.167 0.833 0.000
Dy6 0.835 0.165 0.746
Dy7 0.835 0.671 0.745
Dy8 0.168 0.335 0.000
Dy9 0.329 0.165 0.255
Dy10 0.667 0.833 0.500
Dy11 0.167 0.333 0.500
Dy12 0.665 0.832 0.000
Dy13 0.835 0.671 0.255
Dy14 0.835 0.165 0.254

---

# RbCo2P2

Crystalline RbCo2P2 at its relaxed geometry (PBE, Alexandria via LeMat-Bulk).

## Properties
Calculated density, g/cm³: 4.621
Calculated volume, Å³ per cell: 95
Total energy, eV per cell: -27.36
E_form, eV/atom: -0.272

Cell: 3.700 3.700 6.963 Å, 90.00 90.00 90.00°
Last column: magnetic moment on the atom in μB.
Sites, in units of the cell vectors:
Co1 0.500 0.000 0.500  0.27
P1 0.500 0.500 0.319  0.01
Co2 0.000 0.500 0.500  0.27
Rb1 0.000 0.000 0.000  0.00
P2 0.500 0.500 0.681  0.01

---

# Dy2Pd2Pt

Crystalline Dy2Pd2Pt at its relaxed geometry (PBE, Alexandria via LeMat-Bulk).

## Properties
Excess energy over the best structure of this formula in the dataset, meV/atom: 0.0
Calculated density, g/cm³: 11.080
Calculated volume, Å³ per cell: 110
Total energy, eV per cell: -30.23
E_form, eV/atom: -0.919

Cell: 4.396 4.396 7.025 Å, 90.13 108.21 119.78°
Sites, in units of the cell vectors:
Dy1 0.186 0.592 0.778
Pt1 0.000 0.000 0.000
Pd1 0.712 0.855 0.567
Dy2 0.814 0.408 0.222
Pd2 0.288 0.145 0.433

---

# Th4Te3

Crystalline Th4Te3 at its relaxed geometry (PBE, Alexandria via LeMat-Bulk).

## Properties
Calculated density, g/cm³: 10.325
Calculated volume, Å³ per cell: 422
Total energy, eV per cell: -89.56
Energy relative to the elements, uncorrected, eV per atom: -0.811

Cell: 8.182 8.182 8.182 Å, 109.47 109.47 109.47°
Sites, in units of the cell vectors:
Te1 0.750 0.625 0.375
Th1 0.347 0.500 0.000
Th2 0.500 0.347 0.500
Th3 0.153 0.653 0.653
Th4 0.847 0.500 0.000
Te2 0.875 0.250 0.625
Th5 0.500 0.847 0.500
Th6 0.653 0.153 0.153
Te3 0.250 0.875 0.125
Th7 0.000 0.000 0.347
Th8 0.000 0.000 0.847
Te4 0.125 0.375 0.250
Te5 0.625 0.750 0.875
Te6 0.375 0.125 0.750

---

# Pr5Sb4Br

Crystalline Pr5Sb4Br at its relaxed geometry (PBE, Alexandria via LeMat-Bulk).

## Properties
Calculated density, g/cm³: 6.415
Calculated volume, Å³ per cell: 329
Total energy, eV per cell: -54.24
Energy relative to the elements, uncorrected, eV per atom: -1.218

Cell: 4.555 6.390 11.968 Å, 105.48 100.97 90.00°
Sites, in units of the cell vectors:
Pr1 0.000 0.500 0.000
Sb1 0.200 0.200 0.400
Sb2 0.598 0.598 0.196
Sb3 0.402 0.402 0.804
Pr2 0.394 0.894 0.787
Pr3 0.801 0.301 0.601
Br1 0.000 0.000 0.000
Sb4 0.800 0.800 0.600
Pr4 0.606 0.106 0.213
Pr5 0.199 0.699 0.399

---

# ZnSiMo2

Crystalline ZnSiMo2 at its relaxed geometry (PBE, Alexandria via LeMat-Bulk).

## Properties
Excess energy over the best structure of this formula in the dataset, meV/atom: 97.2
Calculated density, g/cm³: 8.052
Calculated volume, Å³ per cell: 59
Total energy, eV per cell: -28.11
Energy relative to the elements, uncorrected, eV per atom: 0.063

Cell: 5.376 4.949 2.720 Å, 80.88 77.63 118.96°
Sites, in units of the cell vectors:
Zn1 0.500 0.500 0.000
Si1 0.000 0.500 0.500
Mo1 0.500 0.000 0.500
Mo2 0.000 0.000 0.000

---

# VMoIrRu

Crystalline VMoIrRu at its relaxed geometry (PBE, Alexandria via LeMat-Bulk).

## Properties
Excess energy over the best structure of this formula in the dataset, meV/atom: 0.0
Calculated density, g/cm³: 12.641
Calculated volume, Å³ per cell: 58
Total energy, eV per cell: -38.92
E_form, eV/atom: -0.208

Cell: 3.917 3.917 4.676 Å, 114.76 114.76 90.00°
Sites, in units of the cell vectors:
Ru1 0.500 0.500 0.000
V1 0.750 0.250 0.500
Ir1 0.000 0.000 0.000
Mo1 0.250 0.750 0.500

---

# Pm7DyTh3

Crystalline Pm7DyTh3 at its relaxed geometry (PBE, Alexandria via LeMat-Bulk).

## Properties
Calculated density, g/cm³: 8.293
Calculated volume, Å³ per cell: 375
Total energy, eV per cell: -58.28
E_form, eV/atom: 0.167

Cell: 6.807 8.826 6.516 Å, 82.49 82.47 101.58°
Sites, in units of the cell vectors:
Pm1 0.283 0.855 0.574
Pm2 0.230 0.202 0.302
Pm3 0.717 0.145 0.426
Pm4 0.730 0.424 0.007
Dy1 0.500 0.500 0.500
Th1 0.500 0.000 0.000
Pm5 0.000 0.500 0.500
Th2 0.052 0.165 0.834
Pm6 0.270 0.576 0.993
Th3 0.948 0.835 0.166
Pm7 0.770 0.798 0.698

---

# ZrScO2F

Crystalline ZrScO2F at its relaxed geometry (PBE, Alexandria via LeMat-Bulk).

## Properties
Calculated density, g/cm³: 4.193
Calculated volume, Å³ per cell: 74
Total energy, eV per cell: -38.33
Energy relative to the elements, uncorrected, eV per atom: -2.332

Cell: 4.186 4.186 4.230 Å, 90.00 90.00 90.00°
Last column: magnetic moment on the atom in μB.
Sites, in units of the cell vectors:
O1 0.000 0.500 0.000  -0.02
Zr1 0.000 0.000 0.000  0.20
F1 0.000 0.000 0.500  0.04
O2 0.500 0.000 0.000  -0.02
Sc1 0.500 0.500 0.500  0.99

---

# Pr4HCCl2

Crystalline Pr4HCCl2 at its relaxed geometry (PBE, Alexandria via LeMat-Bulk).

## Properties
Calculated density, g/cm³: 5.985
Calculated volume, Å³ per cell: 180
Total energy, eV per cell: -42.71

Cell: 3.828 6.550 7.438 Å, 105.56 90.00 90.00°
Sites, in units of the cell vectors:
Cl1 0.500 0.000 0.500
Cl2 0.000 0.500 0.500
Pr1 0.000 0.270 0.810
C1 0.500 0.500 0.000
Pr2 0.500 0.751 0.796
Pr3 0.000 0.730 0.190
H1 0.000 0.000 0.000
Pr4 0.500 0.249 0.204